# 1
## RbInSeBr2 (GGA-PBEsol)

Data for a relaxed structure of RbInSeBr2.

energy relative to the elements, uncorrected	1	meV/atom

```
data_RbInSeBr2
_cell_length_a 6.007
_cell_length_b 6.197
_cell_length_c 6.197
_cell_angle_alpha 90.00
_cell_angle_beta 90.00
_cell_angle_gamma 90.00
_space_group_name_H-M_alt 'P 1'
_space_group_IT_number 1
loop_
_space_group_symop_operation_xyz
'x,y,z'
loop_
_atom_site_label
_atom_site_type_symbol
_atom_site_fract_x
_atom_site_fract_y
_atom_site_fract_z
_atom_site_occupancy
Se1 Se 0.500 0.000 0.000 1
Br1 Br 0.000 0.000 0.500 1
In1 In 0.500 0.500 0.500 1
Rb1 Rb 0.000 0.000 0.000 1
Br2 Br 0.000 0.500 0.000 1
```

=====

# 2
## TcTePI2 (GGA-PBEsol)

Data for a relaxed structure of TcTePI2.

energy relative to the elements, uncorrected	923	meV/atom

```
data_TcTePI2
_cell_length_a 5.049
_cell_length_b 5.252
_cell_length_c 5.252
_cell_angle_alpha 90.00
_cell_angle_beta 90.00
_cell_angle_gamma 90.00
_space_group_name_H-M_alt 'P 1'
_space_group_IT_number 1
loop_
_space_group_symop_operation_xyz
'x,y,z'
loop_
_atom_site_label
_atom_site_type_symbol
_atom_site_fract_x
_atom_site_fract_y
_atom_site_fract_z
_atom_site_occupancy
Tc1 Tc 0.000 0.000 0.000 1
I1 I 0.000 0.500 0.000 1
Te1 Te 0.500 0.000 0.000 1
P1 P 0.500 0.500 0.500 1
I2 I 0.000 0.000 0.500 1
```

=====

# 3
## LiPr2OsO6 (GGA-PBEsol)

Data for a relaxed structure of LiPr2OsO6.

energy relative to the elements, uncorrected	-2409	meV/atom

```
data_LiPr2OsO6
_cell_length_a 5.427
_cell_length_b 5.769
_cell_length_c 7.735
_cell_angle_alpha 90.00
_cell_angle_beta 89.49
_cell_angle_gamma 90.00
_space_group_name_H-M_alt 'P 1'
_space_group_IT_number 1
loop_
_space_group_symop_operation_xyz
'x,y,z'
loop_
_atom_site_label
_atom_site_type_symbol
_atom_site_fract_x
_atom_site_fract_y
_atom_site_fract_z
_atom_site_occupancy
Li1 Li 0.000 0.000 0.000 1
O1 O 0.815 0.288 0.450 1
O2 O 0.185 0.712 0.550 1
O3 O 0.092 0.973 0.254 1
Pr1 Pr 0.516 0.068 0.251 1
Os1 Os 0.500 0.500 0.000 1
O4 O 0.795 0.310 0.046 1
Os2 Os 0.000 0.000 0.500 1
O5 O 0.315 0.212 0.950 1
O6 O 0.685 0.788 0.050 1
Pr2 Pr 0.484 0.932 0.749 1
O7 O 0.705 0.810 0.454 1
Pr3 Pr 0.016 0.432 0.751 1
O8 O 0.408 0.473 0.246 1
Li2 Li 0.500 0.500 0.500 1
O9 O 0.592 0.527 0.754 1
O10 O 0.205 0.690 0.954 1
O11 O 0.908 0.027 0.746 1
Pr4 Pr 0.984 0.568 0.249 1
O12 O 0.295 0.190 0.546 1
```

=====

# 4
## CaScCd2 (GGA-PBEsol)

Data for a relaxed structure of CaScCd2.

energy of formation from the pure elements	-0.313	eV/atom

```
data_CaScCd2
_cell_length_a 3.552
_cell_length_b 5.129
_cell_length_c 5.130
_cell_angle_alpha 90.00
_cell_angle_beta 90.00
_cell_angle_gamma 90.00
_space_group_name_H-M_alt 'P 1'
_space_group_IT_number 1
loop_
_space_group_symop_operation_xyz
'x,y,z'
loop_
_atom_site_label
_atom_site_type_symbol
_atom_site_fract_x
_atom_site_fract_y
_atom_site_fract_z
_atom_site_occupancy
Cd1 Cd 0.000 0.000 0.121 1
Sc1 Sc 0.500 0.000 0.623 1
Cd2 Cd 0.000 0.500 0.629 1
Ca1 Ca 0.500 0.500 0.128 1
```

=====

# 5
## LiBeSe2 (GGA-PBEsol)

Data for a relaxed structure of LiBeSe2.

energy relative to the elements, uncorrected	-603	meV/atom

```
data_LiBeSe2
_cell_length_a 3.319
_cell_length_b 3.356
_cell_length_c 6.842
_cell_angle_alpha 104.00
_cell_angle_beta 90.00
_cell_angle_gamma 119.63
_space_group_name_H-M_alt 'P 1'
_space_group_IT_number 1
loop_
_space_group_symop_operation_xyz
'x,y,z'
loop_
_atom_site_label
_atom_site_type_symbol
_atom_site_fract_x
_atom_site_fract_y
_atom_site_fract_z
_atom_site_occupancy
Li1 Li 0.500 0.000 0.000 1
Se1 Se 0.739 0.478 0.716 1
Se2 Se 0.261 0.522 0.284 1
Be1 Be 0.000 0.000 0.500 1
```

=====

# 6
## La2MoPt (GGA-PBEsol)

Data for a relaxed structure of La2MoPt.

energy of formation from the pure elements	0.017	eV/atom

```
data_La2MoPt
_cell_length_a 3.355
_cell_length_b 3.355
_cell_length_c 8.732
_cell_angle_alpha 90.00
_cell_angle_beta 90.00
_cell_angle_gamma 93.59
_space_group_name_H-M_alt 'P 1'
_space_group_IT_number 1
loop_
_space_group_symop_operation_xyz
'x,y,z'
loop_
_atom_site_label
_atom_site_type_symbol
_atom_site_fract_x
_atom_site_fract_y
_atom_site_fract_z
_atom_site_occupancy
Mo1 Mo 0.000 0.000 0.440 1
Pt1 Pt 0.500 0.500 0.305 1
La1 La 0.000 0.000 0.071 1
La2 La 0.500 0.500 0.685 1
```

=====

# 7
## Ni7Ge4 (GGA-PBEsol)

Data for a relaxed structure of Ni7Ge4.

energy of formation from the pure elements	-0.322	eV/atom

```
data_Ni7Ge4
_cell_length_a 3.928
_cell_length_b 3.928
_cell_length_c 9.861
_cell_angle_alpha 90.00
_cell_angle_beta 90.00
_cell_angle_gamma 120.00
_space_group_name_H-M_alt 'P 1'
_space_group_IT_number 1
loop_
_space_group_symop_operation_xyz
'x,y,z'
loop_
_atom_site_label
_atom_site_type_symbol
_atom_site_fract_x
_atom_site_fract_y
_atom_site_fract_z
_atom_site_occupancy
Ni1 Ni 0.000 0.000 0.879 1
Ge1 Ge 0.333 0.667 0.241 1
Ge2 Ge 0.667 0.333 0.500 1
Ge3 Ge 0.667 0.333 0.000 1
Ni2 Ni 0.000 0.000 0.626 1
Ni3 Ni 0.000 0.000 0.121 1
Ni4 Ni 0.333 0.667 0.500 1
Ni5 Ni 0.000 0.000 0.374 1
Ni6 Ni 0.667 0.333 0.754 1
Ge4 Ge 0.333 0.667 0.759 1
Ni7 Ni 0.667 0.333 0.246 1
```

=====

# 8
## BeNiIr2 (GGA-PBEsol)

Data for a relaxed structure of BeNiIr2.

energy of formation from the pure elements	-0.193	eV/atom

```
data_BeNiIr2
_cell_length_a 2.766
_cell_length_b 2.766
_cell_length_c 6.009
_cell_angle_alpha 90.00
_cell_angle_beta 90.00
_cell_angle_gamma 90.00
_space_group_name_H-M_alt 'P 1'
_space_group_IT_number 1
loop_
_space_group_symop_operation_xyz
'x,y,z'
loop_
_atom_site_label
_atom_site_type_symbol
_atom_site_fract_x
_atom_site_fract_y
_atom_site_fract_z
_atom_site_occupancy
Be1 Be 0.500 0.500 0.500 1
Ir1 Ir 0.000 0.000 0.275 1
Ni1 Ni 0.500 0.500 0.000 1
Ir2 Ir 0.000 0.000 0.725 1
```

=====

# 9
## CuSbRu3 (GGA-PBEsol)

Data for a relaxed structure of CuSbRu3.

energy relative to the elements, uncorrected	1422	meV/atom

```
data_CuSbRu3
_cell_length_a 4.399
_cell_length_b 4.399
_cell_length_c 4.399
_cell_angle_alpha 90.00
_cell_angle_beta 90.00
_cell_angle_gamma 90.00
_space_group_name_H-M_alt 'P 1'
_space_group_IT_number 1
loop_
_space_group_symop_operation_xyz
'x,y,z'
loop_
_atom_site_label
_atom_site_type_symbol
_atom_site_fract_x
_atom_site_fract_y
_atom_site_fract_z
_atom_site_occupancy
Ru1 Ru 0.000 0.500 0.000 1
Sb1 Sb 0.500 0.500 0.500 1
Cu1 Cu 0.000 0.000 0.000 1
Ru2 Ru 0.000 0.000 0.500 1
Ru3 Ru 0.500 0.000 0.000 1
```

=====

# 10
## HoSi2Ni (GGA-PBEsol)

Data for a relaxed structure of HoSi2Ni.

energy relative to the elements, uncorrected	-917	meV/atom

```
data_HoSi2Ni
_cell_length_a 3.924
_cell_length_b 3.931
_cell_length_c 8.343
_cell_angle_alpha 76.37
_cell_angle_beta 90.00
_cell_angle_gamma 90.00
_space_group_name_H-M_alt 'P 1'
_space_group_IT_number 1
loop_
_space_group_symop_operation_xyz
'x,y,z'
loop_
_atom_site_label
_atom_site_type_symbol
_atom_site_fract_x
_atom_site_fract_y
_atom_site_fract_z
_atom_site_occupancy
Si1 Si 0.750 0.250 0.500 1
Ho1 Ho 0.250 0.106 0.789 1
Si2 Si 0.250 0.460 0.080 1
Si3 Si 0.750 0.540 0.920 1
Ni1 Ni 0.750 0.677 0.645 1
Ni2 Ni 0.250 0.323 0.355 1
Ho2 Ho 0.750 0.894 0.211 1
Si4 Si 0.250 0.750 0.500 1
```

=====

# 11
## NaScS3 (GGA-PBEsol)

Data for a relaxed structure of NaScS3.

energy relative to the elements, uncorrected	-886	meV/atom

```
data_NaScS3
_cell_length_a 4.910
_cell_length_b 4.910
_cell_length_c 4.910
_cell_angle_alpha 90.00
_cell_angle_beta 90.00
_cell_angle_gamma 90.00
_space_group_name_H-M_alt 'P 1'
_space_group_IT_number 1
loop_
_space_group_symop_operation_xyz
'x,y,z'
loop_
_atom_site_label
_atom_site_type_symbol
_atom_site_fract_x
_atom_site_fract_y
_atom_site_fract_z
_atom_site_occupancy
Sc1 Sc 0.000 0.000 0.000 1
S1 S 0.000 0.500 0.000 1
S2 S 0.500 0.000 0.000 1
Na1 Na 0.500 0.500 0.500 1
S3 S 0.000 0.000 0.500 1
```

=====

# 12
## CeCo3B2 (GGA-PBEsol)

Data for a relaxed structure of CeCo3B2.

energy of formation from the pure elements	-0.552	eV/atom

```
data_CeCo3B2
_cell_length_a 2.997
_cell_length_b 4.957
_cell_length_c 4.957
_cell_angle_alpha 120.00
_cell_angle_beta 90.00
_cell_angle_gamma 90.00
_space_group_name_H-M_alt 'P 1'
_space_group_IT_number 1
loop_
_space_group_symop_operation_xyz
'x,y,z'
loop_
_atom_site_label
_atom_site_type_symbol
_atom_site_fract_x
_atom_site_fract_y
_atom_site_fract_z
_atom_site_occupancy
Co1 Co 0.500 0.000 0.500 1
B1 B 0.000 0.667 0.333 1
Co2 Co 0.500 0.500 0.500 1
Co3 Co 0.500 0.500 0.000 1
Ce1 Ce 0.000 0.000 0.000 1
B2 B 0.000 0.333 0.667 1
```

=====

# 13
## InHgPb2 (GGA-PBEsol)

Data for a relaxed structure of InHgPb2.

energy of formation from the pure elements	0.008	eV/atom

```
data_InHgPb2
_cell_length_a 3.787
_cell_length_b 5.341
_cell_length_c 6.237
_cell_angle_alpha 115.36
_cell_angle_beta 107.68
_cell_angle_gamma 90.00
_space_group_name_H-M_alt 'P 1'
_space_group_IT_number 1
loop_
_space_group_symop_operation_xyz
'x,y,z'
loop_
_atom_site_label
_atom_site_type_symbol
_atom_site_fract_x
_atom_site_fract_y
_atom_site_fract_z
_atom_site_occupancy
Hg1 Hg 0.510 0.510 0.019 1
Pb1 Pb 0.765 0.265 0.529 1
Pb2 Pb 0.993 0.993 0.985 1
In1 In 0.233 0.733 0.466 1
```

=====

# 14
## Sc2AgN (GGA-PBEsol)

Data for a relaxed structure of Sc2AgN.

energy relative to the elements, uncorrected	-883	meV/atom

```
data_Sc2AgN
_cell_length_a 3.111
_cell_length_b 3.111
_cell_length_c 8.153
_cell_angle_alpha 79.00
_cell_angle_beta 79.00
_cell_angle_gamma 60.00
_space_group_name_H-M_alt 'P 1'
_space_group_IT_number 1
loop_
_space_group_symop_operation_xyz
'x,y,z'
loop_
_atom_site_label
_atom_site_type_symbol
_atom_site_fract_x
_atom_site_fract_y
_atom_site_fract_z
_atom_site_occupancy
Sc1 Sc 0.116 0.116 0.651 1
Ag1 Ag 0.000 0.000 0.000 1
Sc2 Sc 0.884 0.884 0.349 1
N1 N 0.500 0.500 0.500 1
```

=====

# 15
## KH2Pd2 (GGA-PBEsol)

Data for a relaxed structure of KH2Pd2.

uncorrected energy	-4.107	eV/atom

```
data_KH2Pd2
_cell_length_a 3.778
_cell_length_b 3.778
_cell_length_c 6.171
_cell_angle_alpha 107.82
_cell_angle_beta 107.82
_cell_angle_gamma 90.00
_space_group_name_H-M_alt 'P 1'
_space_group_IT_number 1
loop_
_space_group_symop_operation_xyz
'x,y,z'
loop_
_atom_site_label
_atom_site_type_symbol
_atom_site_fract_x
_atom_site_fract_y
_atom_site_fract_z
_atom_site_occupancy
Pd1 Pd 0.267 0.267 0.534 1
K1 K 0.000 0.000 0.000 1
Pd2 Pd 0.733 0.733 0.466 1
H1 H 0.250 0.750 0.500 1
H2 H 0.750 0.250 0.500 1
```

=====

# 16
## AlCdNi2 (GGA-PBEsol)

Data for a relaxed structure of AlCdNi2.

energy of formation from the pure elements	-0.148	eV/atom

```
data_AlCdNi2
_cell_length_a 3.635
_cell_length_b 3.635
_cell_length_c 4.761
_cell_angle_alpha 112.44
_cell_angle_beta 112.44
_cell_angle_gamma 90.00
_space_group_name_H-M_alt 'P 1'
_space_group_IT_number 1
loop_
_space_group_symop_operation_xyz
'x,y,z'
loop_
_atom_site_label
_atom_site_type_symbol
_atom_site_fract_x
_atom_site_fract_y
_atom_site_fract_z
_atom_site_occupancy
Ni1 Ni 0.000 0.000 0.000 1
Cd1 Cd 0.250 0.750 0.500 1
Ni2 Ni 0.750 0.250 0.500 1
Al1 Al 0.500 0.500 0.000 1
```

=====

# 17
## LaY2Sc (GGA-PBEsol)

Data for a relaxed structure of LaY2Sc.

energy of formation from the pure elements	0.053	eV/atom

```
data_LaY2Sc
_cell_length_a 3.509
_cell_length_b 4.876
_cell_length_c 6.890
_cell_angle_alpha 90.00
_cell_angle_beta 90.00
_cell_angle_gamma 90.00
_space_group_name_H-M_alt 'P 1'
_space_group_IT_number 1
loop_
_space_group_symop_operation_xyz
'x,y,z'
loop_
_atom_site_label
_atom_site_type_symbol
_atom_site_fract_x
_atom_site_fract_y
_atom_site_fract_z
_atom_site_occupancy
La1 La 0.500 0.500 0.000 1
Y1 Y 0.000 0.000 0.739 1
Sc1 Sc 0.500 0.500 0.500 1
Y2 Y 0.000 0.000 0.261 1
```

=====

# 18
## Ce2ZrO6 (GGA-PBEsol)

Data for a relaxed structure of Ce2ZrO6.

energy relative to the elements, uncorrected	-3446	meV/atom

```
data_Ce2ZrO6
_cell_length_a 3.757
_cell_length_b 3.757
_cell_length_c 9.082
_cell_angle_alpha 90.00
_cell_angle_beta 90.00
_cell_angle_gamma 120.00
_space_group_name_H-M_alt 'P 1'
_space_group_IT_number 1
loop_
_space_group_symop_operation_xyz
'x,y,z'
loop_
_atom_site_label
_atom_site_type_symbol
_atom_site_fract_x
_atom_site_fract_y
_atom_site_fract_z
_atom_site_occupancy
O1 O 0.667 0.333 0.587 1
Ce1 Ce 0.333 0.667 0.675 1
O2 O 0.667 0.333 0.070 1
Zr1 Zr 0.000 0.000 0.000 1
O3 O 0.000 0.000 0.236 1
O4 O 0.000 0.000 0.764 1
O5 O 0.333 0.667 0.413 1
Ce2 Ce 0.667 0.333 0.325 1
O6 O 0.333 0.667 0.930 1
```

=====

# 19
## Te2P6Os (GGA-PBEsol)

Data for a relaxed structure of Te2P6Os.

energy relative to the elements, uncorrected	387	meV/atom

```
data_Te2P6Os
_cell_length_a 3.806
_cell_length_b 7.109
_cell_length_c 7.109
_cell_angle_alpha 120.00
_cell_angle_beta 90.00
_cell_angle_gamma 90.00
_space_group_name_H-M_alt 'P 1'
_space_group_IT_number 1
loop_
_space_group_symop_operation_xyz
'x,y,z'
loop_
_atom_site_label
_atom_site_type_symbol
_atom_site_fract_x
_atom_site_fract_y
_atom_site_fract_z
_atom_site_occupancy
P1 P 0.500 0.349 0.349 1
Te1 Te 0.000 0.667 0.333 1
P2 P 0.500 0.651 0.000 1
P3 P 0.000 0.000 0.223 1
P4 P 0.500 0.000 0.651 1
P5 P 0.000 0.777 0.777 1
P6 P 0.000 0.223 0.000 1
Os1 Os 0.500 0.000 0.000 1
Te2 Te 0.000 0.333 0.667 1
```

=====

# 20
## CaInTc (GGA-PBEsol)

Data for a relaxed structure of CaInTc.

energy of formation from the pure elements	0.291	eV/atom

```
data_CaInTc
_cell_length_a 3.543
_cell_length_b 3.543
_cell_length_c 5.697
_cell_angle_alpha 108.12
_cell_angle_beta 108.12
_cell_angle_gamma 90.00
_space_group_name_H-M_alt 'P 1'
_space_group_IT_number 1
loop_
_space_group_symop_operation_xyz
'x,y,z'
loop_
_atom_site_label
_atom_site_type_symbol
_atom_site_fract_x
_atom_site_fract_y
_atom_site_fract_z
_atom_site_occupancy
In1 In 0.703 0.703 0.406 1
Ca1 Ca 0.995 0.995 0.990 1
Tc1 Tc 0.302 0.302 0.605 1
```